DFT (GGA-PBE) results for a relaxed structure of Tl3V.

Results
For the formation energy, the calculation gives 542 meV/atom. The total energy is -3.51 eV/atom.

Geometry as CIF:
```
data_Tl3V
_symmetry_space_group_name_H-M 'P 1'
_symmetry_Int_Tables_number 1
_cell_length_a 4.6423
_cell_length_b 4.6423
_cell_length_c 4.6423
_cell_angle_alpha 90.00
_cell_angle_beta 90.00
_cell_angle_gamma 90.00
loop_
_symmetry_equiv_pos_as_xyz
'x,y,z'
loop_
_atom_site_label
_atom_site_type_symbol
_atom_site_fract_x
_atom_site_fract_y
_atom_site_fract_z
_atom_site_occupancy
Tl1 Tl 0.0000 0.0000 0.5000 1
Tl2 Tl 0.0000 0.5000 0.0000 1
Tl3 Tl 0.5000 0.0000 0.0000 1
V1 V 0.5000 0.5000 0.5000 1
```

---

DFT (GGA-PBE) results for a relaxed structure of BaHg3Pb3.

Results
For the polymorph energy (0 for the lowest one), the calculation gives 0.0 kJ/mol of atoms. For the formation energy, the calculation gives -157 meV/atom. The total energy is -2.15 eV/atom.

Geometry as CIF:
```
data_BaHg3Pb3
_symmetry_space_group_name_H-M 'P 1'
_symmetry_Int_Tables_number 1
_cell_length_a 8.4153
_cell_length_b 8.4153
_cell_length_c 8.4153
_cell_angle_alpha 67.45
_cell_angle_beta 67.45
_cell_angle_gamma 67.45
loop_
_symmetry_equiv_pos_as_xyz
'x,y,z'
loop_
_atom_site_label
_atom_site_type_symbol
_atom_site_fract_x
_atom_site_fract_y
_atom_site_fract_z
_atom_site_occupancy
Ba1 Ba 0.1935 0.1935 0.1935 1
Ba2 Ba 0.8065 0.8065 0.8065 1
Hg1 Hg 0.1874 0.7459 0.4457 1
Hg2 Hg 0.2541 0.5543 0.8126 1
Hg3 Hg 0.4457 0.1874 0.7459 1
Hg4 Hg 0.5543 0.8126 0.2541 1
Hg5 Hg 0.7459 0.4457 0.1874 1
Hg6 Hg 0.8126 0.2541 0.5543 1
Pb1 Pb 0.0380 0.3583 0.6956 1
Pb2 Pb 0.3044 0.9620 0.6417 1
Pb3 Pb 0.3583 0.6956 0.0380 1
Pb4 Pb 0.6417 0.3044 0.9620 1
Pb5 Pb 0.6956 0.0380 0.3583 1
Pb6 Pb 0.9620 0.6417 0.3044 1
```

---

DFT (GGA-PBE) results for a relaxed structure of YGeSbI2.

Results
For the formation energy without anion corrections, the calculation gives 0.101 eV per atom. For the polymorph energy (0 for the lowest one), the calculation gives 8.6 kJ/mol of atoms. The total energy is -3.56 eV/atom.

Geometry as CIF:
```
data_YGeSbI2
_symmetry_space_group_name_H-M 'P 1'
_symmetry_Int_Tables_number 1
_cell_length_a 5.8433
_cell_length_b 5.8433
_cell_length_c 6.0333
_cell_angle_alpha 90.00
_cell_angle_beta 90.00
_cell_angle_gamma 90.00
loop_
_symmetry_equiv_pos_as_xyz
'x,y,z'
loop_
_atom_site_label
_atom_site_type_symbol
_atom_site_fract_x
_atom_site_fract_y
_atom_site_fract_z
_atom_site_occupancy
Y1 Y 0.0000 0.0000 0.0000 1
Ge1 Ge 0.0000 0.0000 0.5000 1
Sb1 Sb 0.5000 0.5000 0.5000 1
I1 I 0.0000 0.5000 0.0000 1
I2 I 0.5000 0.0000 0.0000 1
```

---

DFT (GGA-PBE) results for a relaxed structure of BaZr2Pb.

Results
For the formation energy, the calculation gives 628 meV/atom. The total energy is -5.05 eV/atom.

Geometry as CIF:
```
data_BaZr2Pb
_symmetry_space_group_name_H-M 'P 1'
_symmetry_Int_Tables_number 1
_cell_length_a 7.0377
_cell_length_b 7.0377
_cell_length_c 7.0377
_cell_angle_alpha 102.47
_cell_angle_beta 102.47
_cell_angle_gamma 124.62
loop_
_symmetry_equiv_pos_as_xyz
'x,y,z'
loop_
_atom_site_label
_atom_site_type_symbol
_atom_site_fract_x
_atom_site_fract_y
_atom_site_fract_z
_atom_site_occupancy
Ba1 Ba 0.0000 0.0000 0.0000 1
Ba2 Ba 0.7500 0.2500 0.5000 1
Zr1 Zr 0.1673 0.1250 0.5423 1
Zr2 Zr 0.3750 0.8327 0.9577 1
Zr3 Zr 0.5827 0.6250 0.4577 1
Zr4 Zr 0.8750 0.4173 0.0423 1
Pb1 Pb 0.2500 0.7500 0.5000 1
Pb2 Pb 0.5000 0.5000 0.0000 1
```

---

DFT (GGA-PBE) results for a relaxed structure of Ce7InBi3.

Results
For the formation energy, the calculation gives -357 meV/atom. The total energy is -5.44 eV/atom.

Geometry as CIF:
```
data_Ce7InBi3
_symmetry_space_group_name_H-M 'P 1'
_symmetry_Int_Tables_number 1
_cell_length_a 8.2999
_cell_length_b 8.2999
_cell_length_c 8.2999
_cell_angle_alpha 136.44
_cell_angle_beta 112.39
_cell_angle_gamma 83.94
loop_
_symmetry_equiv_pos_as_xyz
'x,y,z'
loop_
_atom_site_label
_atom_site_type_symbol
_atom_site_fract_x
_atom_site_fract_y
_atom_site_fract_z
_atom_site_occupancy
Ce1 Ce 0.0000 0.0000 0.0000 1
Ce2 Ce 0.1120 0.7539 0.3581 1
Ce3 Ce 0.3522 0.5000 0.8522 1
Ce4 Ce 0.3957 0.7539 0.6419 1
Ce5 Ce 0.6043 0.2461 0.3581 1
Ce6 Ce 0.6478 0.5000 0.1478 1
Ce7 Ce 0.8880 0.2461 0.6419 1
In1 In 0.0000 0.5000 0.5000 1
Bi1 Bi 0.2591 0.2591 0.0000 1
Bi2 Bi 0.5000 0.0000 0.5000 1
Bi3 Bi 0.7409 0.7409 0.0000 1
```

---

DFT (GGA-PBE) results for a relaxed structure of Ho12Pt6Pb.

Results
For the formation energy, the calculation gives -877 meV/atom. The total energy is -5.87 eV/atom.

Geometry as CIF:
```
data_Ho12Pt6Pb
_symmetry_space_group_name_H-M 'P 1'
_symmetry_Int_Tables_number 1
_cell_length_a 8.6241
_cell_length_b 8.6241
_cell_length_c 8.6241
_cell_angle_alpha 109.47
_cell_angle_beta 109.47
_cell_angle_gamma 109.47
loop_
_symmetry_equiv_pos_as_xyz
'x,y,z'
loop_
_atom_site_label
_atom_site_type_symbol
_atom_site_fract_x
_atom_site_fract_y
_atom_site_fract_z
_atom_site_occupancy
Ho1 Ho 0.1192 0.3005 0.8187 1
Ho2 Ho 0.1813 0.4819 0.3005 1
Ho3 Ho 0.1813 0.8808 0.6995 1
Ho4 Ho 0.3005 0.1813 0.4819 1
Ho5 Ho 0.3005 0.8187 0.1192 1
Ho6 Ho 0.4819 0.3005 0.1813 1
Ho7 Ho 0.5181 0.6995 0.8187 1
Ho8 Ho 0.6995 0.1813 0.8808 1
Ho9 Ho 0.6995 0.8187 0.5181 1
Ho10 Ho 0.8187 0.1192 0.3005 1
Ho11 Ho 0.8187 0.5181 0.6995 1
Ho12 Ho 0.8808 0.6995 0.1813 1
Pt1 Pt 0.1386 0.5000 0.6386 1
Pt2 Pt 0.3614 0.8614 0.5000 1
Pt3 Pt 0.5000 0.3614 0.8614 1
Pt4 Pt 0.5000 0.6386 0.1386 1
Pt5 Pt 0.6386 0.1386 0.5000 1
Pt6 Pt 0.8614 0.5000 0.3614 1
Pb1 Pb 0.0000 0.0000 0.0000 1
```

---

DFT (GGA-PBE) results for a relaxed structure of CsTiMo2C.

Results
For the formation energy, the calculation gives 4015 meV/atom. The total energy is -3.91 eV/atom.

Geometry as CIF:
```
data_CsTiMo2C
_symmetry_space_group_name_H-M 'P 1'
_symmetry_Int_Tables_number 1
_cell_length_a 4.8931
_cell_length_b 4.8931
_cell_length_c 4.8974
_cell_angle_alpha 90.00
_cell_angle_beta 90.00
_cell_angle_gamma 90.00
loop_
_symmetry_equiv_pos_as_xyz
'x,y,z'
loop_
_atom_site_label
_atom_site_type_symbol
_atom_site_fract_x
_atom_site_fract_y
_atom_site_fract_z
_atom_site_occupancy
Cs1 Cs 0.0000 0.0000 0.0000 1
Ti1 Ti 0.0000 0.0000 0.5000 1
Mo1 Mo 0.0000 0.5000 0.0000 1
Mo2 Mo 0.5000 0.0000 0.0000 1
C1 C 0.5000 0.5000 0.5000 1
```

---

DFT (GGA-PBE) results for a relaxed structure of Sm2Zn2Cu3.

Results
For the formation energy, the calculation gives -234 meV/atom. The total energy is -3.70 eV/atom.

Geometry as CIF:
```
data_Sm2Zn2Cu3
_symmetry_space_group_name_H-M 'P 1'
_symmetry_Int_Tables_number 1
_cell_length_a 5.5176
_cell_length_b 5.5176
_cell_length_c 6.5656
_cell_angle_alpha 110.99
_cell_angle_beta 110.99
_cell_angle_gamma 45.29
loop_
_symmetry_equiv_pos_as_xyz
'x,y,z'
loop_
_atom_site_label
_atom_site_type_symbol
_atom_site_fract_x
_atom_site_fract_y
_atom_site_fract_z
_atom_site_occupancy
Sm1 Sm 0.1466 0.1466 0.2607 1
Sm2 Sm 0.8534 0.8534 0.7393 1
Zn1 Zn 0.1460 0.1460 0.7392 1
Zn2 Zn 0.8540 0.8540 0.2608 1
Cu1 Cu 0.4012 0.4012 0.0822 1
Cu2 Cu 0.5000 0.5000 0.5000 1
Cu3 Cu 0.5988 0.5988 0.9178 1
```